Entry 1:
Below is a relaxed PaNbTc crystal, with properties calculated at the PBE-GGA level.

Computed properties:
As for the relative energy among the computed polymorphs: 0.256 eV per atom. The total magnetization comes out at 0.003 μB/f.u. The symmetry is F-43m, No. 216. The mass density is 11.129 g cm⁻³.

Geometry as POSCAR:
```
PaNbTc
1.0
0.000 3.157 3.157
3.157 0.000 3.157
3.157 3.157 0.000
Pa Nb Tc
1 1 1
Cartesian
0.000 0.000 0.000 Pa
4.736 4.736 4.736 Nb
1.579 1.579 1.579 Tc
```

=====

Entry 2:
Below is a relaxed PaNbTc crystal, with properties calculated at the PBE-GGA level.

Computed properties:
As for the relative energy among the computed polymorphs: 0.000 eV per atom. The total magnetization comes out at 0.001 μB/f.u. The symmetry is F-43m, No. 216. The mass density is 10.936 g cm⁻³.

Geometry as POSCAR:
```
PaNbTc
1.0
0.000 3.176 3.176
3.176 0.000 3.176
3.176 3.176 0.000
Pa Nb Tc
1 1 1
Cartesian
0.000 0.000 0.000 Pa
1.588 1.588 1.588 Nb
3.176 3.176 3.176 Tc
```

=====

Entry 3:
Below is a relaxed ZrPaNb crystal, with properties calculated at the PBE-GGA level.

Computed properties:
As for the relative energy among the computed polymorphs: 0.570 eV per atom. The total magnetization comes out at 0.117 μB/f.u. The symmetry is F-43m, No. 216. The mass density is 9.242 g cm⁻³.

Geometry as POSCAR:
```
ZrPaNb
1.0
0.000 3.341 3.341
3.341 0.000 3.341
3.341 3.341 0.000
Zr Pa Nb
1 1 1
Cartesian
0.000 0.000 0.000 Zr
5.012 5.012 5.012 Pa
3.341 3.341 3.341 Nb
```

=====

Computed energy of formation (meV/atom) in order:
696 440 1071